No. 1
## Mn3NbGa (GGA-PBE)

Data for a relaxed Mn3NbGa crystal.

The structure belongs to space group Pm-3m (No. 221); the cell edges are 4.463, 4.463 and 4.463 Å and the angles 90.00°, 90.00° and 90.00°. The distinct sites, in fractional coordinates, are Mn at (0.000, 0.000, 0.500), Nb at (0.500, 0.500, 0.500) and Ga at (0.000, 0.000, 0.000).

As for the total energy: -7.158 eV/atom. The calculation puts the formation energy at 0.96 eV/atom.

***

No. 2
## SmTm2Zn (GGA-PBE)

Data for a relaxed SmTm2Zn crystal.

The structure belongs to space group R3m (No. 160, hexagonal axes); the cell edges are 3.5663, 3.5663 and 30.5823 Å and the angles 90.00°, 90.00° and 120.00°. The distinct sites, in fractional coordinates, are Sm at (0.0000, 0.0000, 0.0000), Tm at (0.0000, 0.0000, 0.5704), Tm at (0.0000, 0.0000, 0.7619) and Zn at (0.0000, 0.0000, 0.1658).

As for the total energy: -3.791 eV/atom. The calculation puts the formation energy at -0.06 eV/atom.

***

No. 3
## TiSbRu3 (GGA-PBE)

Data for a relaxed TiSbRu3 crystal.

The structure belongs to space group Pm-3m (No. 221); the cell edges are 4.546, 4.546 and 4.546 Å and the angles 90.00°, 90.00° and 90.00°. The distinct sites, in fractional coordinates, are Ti at (0.000, 0.000, 0.000), Sb at (0.500, 0.500, 0.500) and Ru at (0.000, 0.000, 0.500).

As for the total energy: -7.007 eV/atom. The calculation puts the formation energy from raw total energies at 0.962 eV per atom.

***

No. 4
## CsSnTe2 (GGA-PBE)

Data for a relaxed CsSnTe2 crystal.

The structure belongs to space group C2/c (No. 15); the cell edges are 8.932, 12.715 and 7.154 Å and the angles 90.00°, 114.04° and 90.00°. The distinct sites, in fractional coordinates, are Cs at (0.000, 0.124, 0.250), Sn at (0.000, 0.495, 0.750) and Te at (0.203, 0.368, 0.114).

As for the total energy: -3.351 eV/atom. The calculation puts the formation energy from raw total energies at -0.566 eV per atom.

***

No. 5
## Ac3BiPtRh (GGA-PBE)

Data for a relaxed Ac3BiPtRh crystal.

The structure belongs to space group P2_1/m (No. 11); the cell edges are 8.939, 4.559 and 10.346 Å and the angles 90.00°, 112.72° and 90.00°. The distinct sites, in fractional coordinates, are Ac at (0.158, 0.250, 0.144), Ac at (0.246, 0.750, 0.482), Ac at (0.294, 0.750, 0.878), Bi at (0.493, 0.750, 0.263), Pt at (0.005, 0.250, 0.385) and Rh at (0.059, 0.250, 0.830).

As for the total energy: -5.718 eV/atom. The calculation puts the formation energy at -0.78 eV/atom.

***

No. 6
## ZrTa2B2Ru5 (GGA-PBE)

Data for a relaxed ZrTa2B2Ru5 crystal.

The structure belongs to space group P4/mbm (No. 127); the cell edges are 9.490, 9.490 and 3.064 Å and the angles 90.00°, 90.00° and 90.00°. The distinct sites, in fractional coordinates, are Zr at (0.000, 0.000, 0.000), Ta at (0.177, 0.323, 0.000), B at (0.122, 0.622, 0.000), Ru at (0.000, 0.500, 0.500) and Ru at (0.072, 0.778, 0.500).

As for the total energy: -9.701 eV/atom. The calculation puts the formation energy at -0.50 eV/atom.

***

No. 7
## Rb2UAuSe6 (GGA-PBE)

Data for a relaxed Rb2UAuSe6 crystal.

The structure belongs to space group C2/m (No. 12); the cell edges are 15.264, 6.899 and 6.217 Å and the angles 90.00°, 96.57° and 90.00°. The distinct sites, in fractional coordinates, are Rb at (0.211, 0.000, 0.238), U at (0.000, 0.500, 0.000), Au at (0.000, 0.000, 0.500), Se at (0.082, 0.229, 0.765) and Se at (0.151, 0.500, 0.236).

As for the total energy: -4.464 eV/atom. The calculation puts the formation energy from raw total energies at -0.723 eV per atom.

***

No. 8
## Er8TlCu2 (GGA-PBE)

Data for a relaxed Er8TlCu2 crystal.

The structure belongs to space group C2/m (No. 12); the cell edges are 8.655, 13.449 and 5.327 Å and the angles 90.00°, 106.24° and 90.00°. The distinct sites, in fractional coordinates, are Er at (0.000, 0.240, 0.000), Er at (0.106, 0.500, 0.804), Er at (0.209, 0.126, 0.590), Tl at (0.000, 0.000, 0.000) and Cu at (0.000, 0.306, 0.500).

As for the total energy: -4.333 eV/atom. The calculation puts the formation energy at -0.05 eV/atom.

***

no.,Fermi-level density of states (states/eV per cell)
1,3.56
2,14.93
3,5.69
4,6.08
5,6.40
6,5.87
7,3.28
8,32.14